Li2HoAg (PBE, optimized geometry); E = -2.85 eV/atom; E above lowest polymorph = 0 meV/atom
1.0
4.6953 0.0000 0.0000
-2.3477 4.0663 0.0000
0.0000 0.0000 13.2140
Li Ho Ag
6 3 3
Cartesian
0.0000 0.0000 0.0000 Li
0.0000 0.0000 3.5426 Li
0.0000 2.7108 8.8093 Li
0.0000 2.7108 12.3519 Li
2.3477 1.3554 4.4046 Li
2.3477 1.3554 7.9473 Li
0.0000 0.0000 6.5224 Ho
0.0000 2.7108 2.1178 Ho
2.3477 1.3554 10.9271 Ho
0.0000 0.0000 9.5447 Ag
0.0000 2.7108 5.1401 Ag
2.3477 1.3554 0.7354 Ag

Li2HoAg3 (PBE, optimized geometry); E = -3.05 eV/atom
1.0
3.3963 0.0000 0.0000
0.0000 3.3963 0.0000
0.0000 0.0000 9.8204
Li Ho Ag
2 1 3
Cartesian
0.0000 0.0000 1.4708 Li
0.0000 0.0000 8.3496 Li
0.0000 0.0000 4.9102 Ho
1.6981 1.6981 0.0000 Ag
1.6981 1.6981 2.9417 Ag
1.6981 1.6981 6.8787 Ag

LiHoAg (PBE, optimized geometry); E = -3.27 eV/atom; E above lowest polymorph = 31 meV/atom
1.0
3.6287 0.0000 0.0000
0.0000 3.6287 0.0000
0.0000 0.0000 9.7130
Li Ho Ag
2 2 2
Cartesian
0.0000 0.0000 0.0000 Li
1.8143 1.8143 4.8565 Li
0.0000 0.0000 2.9713 Ho
1.8143 1.8143 7.8278 Ho
0.0000 0.0000 6.1309 Ag
1.8143 1.8143 1.2744 Ag

Li6HoAg2 (PBE, optimized geometry); E = -2.52 eV/atom
1.0
3.9817 0.0000 0.0000
0.0000 3.9817 0.0000
0.0000 0.0000 11.2904
Li Ho Ag
6 1 2
Cartesian
0.0000 0.0000 0.0000 Li
0.0000 1.9908 2.4063 Li
0.0000 1.9908 8.8840 Li
1.9908 0.0000 2.4063 Li
1.9908 0.0000 8.8840 Li
1.9908 1.9908 0.0000 Li
0.0000 0.0000 5.6452 Ho
1.9908 1.9908 4.2455 Ag
1.9908 1.9908 7.0448 Ag